Density functional theory data (PBE) for crystalline AlAg4Br at its relaxed geometry.

Cell: 7.9773 7.9773 7.9773 Å, 90.00 90.00 90.00°
Last column: nearest neighbours and their distance in Å.
Space group F-43m (No. 216)
Asymmetric unit:
Al: 0.0000 0.0000 0.0000 (multiplicity 4)  12 Ag 3.31, 4 Br 3.45
Ag: 0.1253 0.1253 0.6253 (multiplicity 16)  6 Ag 2.81-2.83
Br: 0.2500 0.2500 0.2500 (multiplicity 4)  12 Ag 3.31, 4 Al 3.45

As for the total energy: -2.629 eV/atom.

Density functional theory data (PBE) for crystalline TmZr3O at its relaxed geometry.

Cell: 4.6274 4.6274 4.6274 Å, 90.00 90.00 90.00°
Last column: nearest neighbours and their distance in Å.
Space group Pm-3m (No. 221)
Asymmetric unit:
Tm: 0.0000 0.0000 0.0000 (multiplicity 1)  12 Zr 3.27
Zr: 0.0000 0.5000 0.5000 (multiplicity 3)  2 O 2.31
O: 0.5000 0.5000 0.5000 (multiplicity 1)  6 Zr 2.31

As for the total energy: -8.012 eV/atom.

Density functional theory data (PBE) for crystalline NaOsPbO5 at its relaxed geometry.

Cell: 6.7678 10.9892 8.1310 Å, 90.00 108.56 90.00°
Last column: nearest neighbours and their distance in Å.
Space group C2/c (No. 15)
Asymmetric unit:
Na: 0.0000 0.2113 0.2500 (multiplicity 4)  3 O 2.28-2.39
Os: 0.0000 0.1903 0.7500 (multiplicity 4)  4 O 1.78-1.81
Pb: 0.0000 0.5000 0.0000 (multiplicity 4)  2 O 2.22
O: 0.0000 0.4192 0.2500 (multiplicity 4)  2 Pb 2.22, 1 Na 2.28
O: 0.1219 0.0918 0.9265 (multiplicity 8)  1 Os 1.78
O: 0.1284 0.2980 0.6498 (multiplicity 8)  1 Os 1.81

As for the total energy: -6.151 eV/atom.

Density functional theory data (PBE) for crystalline CsTe2Os at its relaxed geometry.

Cell: 4.1484 4.1484 29.5311 Å, 90.00 90.00 120.00°
Last column: nearest neighbours and their distance in Å.
Space group R-3m (No. 166, hexagonal axes)
Asymmetric unit:
Cs: 0.0000 0.0000 0.0000 (multiplicity 3)  2 Te 3.64
Te: 0.0000 0.0000 0.1234 (multiplicity 6)  3 Os 2.72
Os: 0.0000 0.0000 0.5000 (multiplicity 3)  6 Te 2.72

As for the total energy: -4.497 eV/atom. The value obtained for the energy above the most stable polymorph in this dataset is 181 meV/atom.

Density functional theory data (PBE) for crystalline Pr8Si3I4F at its relaxed geometry.

Cell: 8.5144 8.5144 23.4432 Å, 90.00 90.00 120.00°
Last column: nearest neighbours and their distance in Å.
Space group R-3m (No. 166, hexagonal axes)
Asymmetric unit:
Pr: 0.0000 0.0000 0.2331 (multiplicity 6)  3 Si 2.91
Pr: 0.0008 0.5004 0.2306 (multiplicity 18)  1 F 2.87, 2 Si 2.88
Si: 0.0000 0.5000 0.5000 (multiplicity 9)  6 Pr 2.88-2.91
I: 0.0000 0.0000 0.0000 (multiplicity 3)  6 Pr 3.45
I: 0.0000 0.5000 0.0000 (multiplicity 9)  6 Pr 3.40-3.44
F: 0.0000 0.0000 0.5000 (multiplicity 3)  6 Pr 2.87

As for the total energy: -5.002 eV/atom.

Density functional theory data (PBE) for crystalline LiSb5 at its relaxed geometry.

Cell: 8.8459 8.8459 8.8459 Å, 90.00 90.00 90.00°
Last column: nearest neighbours and their distance in Å.
Space group F-43m (No. 216)
Asymmetric unit:
Li: 0.0000 0.0000 0.0000 (multiplicity 4)  16 Sb 3.67-3.83
Sb: 0.1248 0.1248 0.3752 (multiplicity 16)  6 Sb 3.12-3.13
Sb: 0.2500 0.2500 0.7500 (multiplicity 4)  12 Sb 3.67, 4 Li 3.83

As for the total energy: -3.541 eV/atom. The value obtained for the energy above the most stable polymorph in this dataset is 200 meV/atom.

no.,V (Å³/atom)
1,21.2
2,19.8
3,17.9
4,36.7
5,30.7
6,28.8